# 1
The following is a PBE-GGA calculation of an optimized crystal structure of KGe2P2, from Alexandria via LeMat-Bulk.

As for the energy relative to the elements: 163 meV per atom. Its crystal system is tetragonal. The calculation puts the final energy at -40.67 eV per cell.

Cell lengths 8.160, 8.160, 3.442 Å; angles 90.00, 90.00, 90.00 degrees
Element x y z (fractional)
1 Ge 0.145 0.645 0.500
2 Ge 0.355 0.145 0.500
3 Ge 0.645 0.855 0.500
4 Ge 0.855 0.355 0.500
5 K 0.500 0.500 0.000
6 K 0.000 0.000 0.000
7 P 0.601 0.101 0.000
8 P 0.399 0.899 0.000
9 P 0.899 0.601 0.000
10 P 0.101 0.399 0.000

---

# 2
The following is a PBE-GGA calculation of an optimized crystal structure of Pr12Dy5Ho, from Alexandria via LeMat-Bulk.

As for the energy relative to the elements: 22 meV per atom. Its crystal system is orthorhombic. The calculation puts the final energy at -84.55 eV per cell.

Cell lengths 15.472, 10.967, 5.186 Å; angles 90.00, 90.00, 45.14 degrees
Element x y z (fractional)
1 Pr 0.836 0.000 0.500
2 Pr 0.498 0.333 0.500
3 Pr 0.002 0.667 0.000
4 Pr 0.502 0.667 0.500
5 Pr 0.335 0.000 0.000
6 Pr 0.331 0.667 0.000
7 Pr 0.169 0.333 0.500
8 Pr 0.669 0.333 0.000
9 Pr 0.831 0.667 0.500
10 Pr 0.665 0.000 0.000
11 Pr 0.998 0.333 0.000
12 Pr 0.164 0.000 0.500
13 Dy 0.167 0.667 0.500
14 Dy 0.833 0.333 0.500
15 Dy 0.333 0.333 0.000
16 Dy 0.667 0.667 0.000
17 Dy 0.500 0.000 0.500
18 Ho 0.000 0.000 0.000

---

# 3
The following is a PBE-GGA calculation of an optimized crystal structure of CrAgRu2, from Alexandria via LeMat-Bulk.

As for the energy relative to the elements: 386 meV per atom. Its crystal system is orthorhombic. The calculation puts the final energy at -29.48 eV per cell. The calculation puts the energy above the lowest structure with this stoichiometry at 15.4 kJ/mol of atoms.

Cell lengths 2.671, 2.671, 9.077 Å; angles 90.00, 90.00, 115.46 degrees
Last column: magnetic moment on the atom in μB.
Element x y z (fractional)
1 Cr 0.500 0.500 0.750  0.31
2 Ru 0.000 0.000 0.528  -0.02
3 Ru 0.000 0.000 0.972  -0.02
4 Ag 0.500 0.500 0.250  0.00

---

# 4
The following is a PBE-GGA calculation of an optimized crystal structure of Pr2Dy3Sc, from Alexandria via LeMat-Bulk.

As for the energy relative to the elements: 93 meV per atom. Its crystal system is monoclinic. The calculation puts the final energy at -58.27 eV per cell. The calculation puts the energy above the lowest structure with this stoichiometry at 5.3 kJ/mol of atoms.

Cell lengths 5.629, 8.932, 9.723 Å; angles 123.07, 90.00, 108.37 degrees
Element x y z (fractional)
1 Sc 0.877 0.754 0.867
2 Sc 0.123 0.246 0.133
3 Dy 0.001 0.002 0.672
4 Dy 0.252 0.504 0.593
5 Dy 0.748 0.496 0.407
6 Dy 0.626 0.251 0.617
7 Dy 0.999 0.998 0.328
8 Dy 0.374 0.749 0.383
9 Pr 0.502 0.005 0.841
10 Pr 0.747 0.495 0.069
11 Pr 0.253 0.505 0.931
12 Pr 0.498 0.995 0.159

---

# 5
The following is a PBE-GGA calculation of an optimized crystal structure of Na3Ga8Pt, from Alexandria via LeMat-Bulk.

As for the energy relative to the elements: -95 meV per atom. Its crystal system is trigonal. The calculation puts the final energy at -35.36 eV per cell.

Cell lengths 5.602, 5.602, 9.453 Å; angles 72.76, 72.76, 60.00 degrees
Element x y z (fractional)
1 Na 0.504 0.504 0.488
2 Na 0.377 0.377 0.869
3 Na 0.997 0.997 0.009
4 Ga 0.945 0.945 0.678
5 Ga 0.193 0.193 0.422
6 Ga 0.945 0.431 0.678
7 Ga 0.431 0.945 0.678
8 Ga 0.442 0.933 0.183
9 Ga 0.933 0.442 0.183
10 Ga 0.442 0.442 0.183
11 Ga 0.693 0.693 0.922
12 Pt 0.848 0.848 0.457

---

# 6
The following is a PBE-GGA calculation of an optimized crystal structure of TeIrBr2, from Alexandria via LeMat-Bulk.

Its crystal system is trigonal. As for the energy relative to the elements, uncorrected: -0.529 eV/f.u. The calculation puts the final energy at -15.88 eV per cell.

Cell lengths 8.608, 8.608, 8.608 Å; angles 25.98, 25.98, 25.98 degrees
Element x y z (fractional)
1 Ir 0.492 0.492 0.492
2 Te 0.772 0.772 0.772
3 Br 0.017 0.017 0.017
4 Br 0.219 0.219 0.219

---

| no. | DOS(E_F) (states/eV/cell) |
| --- | --- |
| 1 | 4.34 |
| 2 | 29.31 |
| 3 | 4.87 |
| 4 | 20.42 |
| 5 | 6.10 |
| 6 | 3.84 |